An optimized crystal structure of Ce5Si3Pd, computed with PBE.

Magnetization (μB/atom): 0.343
Fermi-level density of states (states/eV per atom): 2.56
Raw total energy (eV per cell): -106.51

a = 7.850 Å, b = 7.850 Å, c = 8.382 Å
α = 106.30°, β = 106.30°, γ = 75.46°
Positions (direct):
Ce 0.039 0.039 0.685
Ce 0.117 0.553 0.353
Ce 0.203 0.797 0.000
Ce 0.252 0.252 0.930
Ce 0.447 0.883 0.647
Ce 0.553 0.117 0.353
Ce 0.748 0.748 0.070
Ce 0.797 0.203 0.000
Ce 0.883 0.447 0.647
Ce 0.961 0.961 0.315
Si 0.167 0.167 0.212
Si 0.217 0.217 0.525
Si 0.500 0.500 0.000
Si 0.500 0.500 0.500
Si 0.783 0.783 0.475
Si 0.833 0.833 0.788
Pd 0.415 0.415 0.705
Pd 0.585 0.585 0.295